Record 1
Sr2MgIr | PBE | relaxed

## Properties
crystal system: tetragonal

The structure in CIF format:
```
data_Sr2MgIr
_chemical_formula_sum 'Sr2 Mg1 Ir1'
_cell_length_a 5.6852
_cell_length_b 5.6852
_cell_length_c 5.6852
_cell_angle_alpha 130.11
_cell_angle_beta 130.11
_cell_angle_gamma 73.23
_space_group_name_H-M_alt 'P 1'
_space_group_IT_number 1
loop_
_space_group_symop_operation_xyz
'x,y,z'
loop_
_atom_site_label
_atom_site_type_symbol
_atom_site_fract_x
_atom_site_fract_y
_atom_site_fract_z
_atom_site_occupancy
Sr1 Sr 0.2500 0.7500 0.5000 1
Ir1 Ir 0.5000 0.5000 0.0000 1
Mg1 Mg 0.7500 0.2500 0.5000 1
Sr2 Sr 0.0000 0.0000 0.0000 1
```

***

Record 2
SrMg3Ir | PBE | relaxed

## Properties
crystal system: monoclinic

The structure in CIF format:
```
data_SrMg3Ir
_chemical_formula_sum 'Sr2 Mg6 Ir2'
_cell_length_a 5.9064
_cell_length_b 6.1918
_cell_length_c 7.4365
_cell_angle_alpha 90.00
_cell_angle_beta 114.85
_cell_angle_gamma 90.00
_space_group_name_H-M_alt 'P 1'
_space_group_IT_number 1
loop_
_space_group_symop_operation_xyz
'x,y,z'
loop_
_atom_site_label
_atom_site_type_symbol
_atom_site_fract_x
_atom_site_fract_y
_atom_site_fract_z
_atom_site_occupancy
Mg1 Mg 0.7573 0.6993 0.4915 1
Ir1 Ir 0.1284 0.9476 0.7416 1
Ir2 Ir 0.9059 0.4476 0.8190 1
Mg2 Mg 0.2770 0.6960 0.0691 1
Mg3 Mg 0.7573 0.1960 0.4915 1
Mg4 Mg 0.2770 0.1993 0.0691 1
Sr1 Sr 0.3260 0.4476 0.6639 1
Sr2 Sr 0.7084 0.9476 0.8967 1
Mg5 Mg 0.1832 0.9476 0.4106 1
Mg6 Mg 0.8511 0.4476 0.1500 1
```

***

| no. | total energy (eV/atom) | Fermi-level density of states (states/eV/cell) |
| --- | --- | --- |
| 1 | -3.32 | 2.43 |
| 2 | -3.25 | 4.56 |